TbGdErAl PBE-GGA optimized geometry; energy of formation = -0.0764 eV/atom; space-group type = F-43m, No. 216; electronic total energy = -27.32 eV per formula unit
1.0
5.3463 0.0000 0.0000
2.6732 4.6300 0.0000
2.6732 1.5433 4.3652
Al Er Tb Gd
1 1 1 1
Direct
0.2500 0.2500 0.2500
0.7500 0.7500 0.7500
0.5000 0.5000 0.5000
0.0000 0.0000 0.0000